Entry from the Alexandria database: a relaxed structure of Rb3InP (PBE).

Cell lengths 6.581, 6.581, 6.581 Å; angles 90.00, 90.00, 90.00 degrees
Last column: magnetic moment on the atom in μB.
Element x y z (fractional)
P  0.000  0.000  0.000  0.30
Rb  0.000  0.000  0.500  0.03
Rb  0.000  0.500  0.000  0.02
In  0.500  0.500  0.500  0.18
Rb  0.500  0.000  0.000  0.01

Calculated values
- Energy relative to the lowest polymorph listed for this composition: 0 meV per atom
- Volume: 57.0 A^3/atom
- Crystal system: cubic
- ΔE_f: 19.5 kJ/mol of atoms

Entry from the Alexandria database: a relaxed structure of TcNiSn2C (PBE).

Cell lengths 5.120, 3.429, 5.120 Å; angles 90.00, 90.00, 90.00 degrees
Last column: magnetic moment on the atom in μB.
Element x y z (fractional)
Tc  0.500  0.500  0.500  1.57
C  0.000  0.500  0.000  -0.03
Sn  0.500  0.000  0.000  -0.05
Sn  0.000  0.000  0.500  -0.04
Ni  0.000  0.000  0.000  -0.08

Calculated values
- Volume: 18.0 A^3/atom
- Crystal system: tetragonal
- ΔE_f: 94.1 kJ/mol of atoms

Entry from the Alexandria database: a relaxed structure of ReAgCl2 (PBE).

Cell lengths 6.927, 6.927, 6.927 Å; angles 155.93, 142.93, 44.68 degrees
Last column: magnetic moment on the atom in μB.
Element x y z (fractional)
Cl  0.995  0.995  0.000  0.00
Cl  0.668  0.168  0.500  0.00
Re  0.514  0.514  0.000  0.10
Ag  0.323  0.823  0.500  0.00

Calculated values
- Energy relative to the lowest polymorph listed for this composition: 382 meV per atom
- Volume: 20.4 A^3/atom
- Crystal system: orthorhombic
- ΔE_f (raw): 565 meV/atom

Entry from the Alexandria database: a relaxed structure of Rb2SrPd2 (PBE).

Cell lengths 7.864, 7.864, 5.762 Å; angles 90.00, 90.00, 90.00 degrees
Element x y z (fractional)
Rb  0.336  0.164  0.500
Sr  0.000  0.000  0.000
Pd  0.880  0.620  0.000
Rb  0.164  0.664  0.500
Pd  0.620  0.120  0.000
Rb  0.836  0.336  0.500
Pd  0.380  0.880  0.000
Sr  0.500  0.500  0.000
Rb  0.664  0.836  0.500
Pd  0.120  0.380  0.000

Calculated values
- Volume: 35.6 A^3/atom
- Crystal system: tetragonal
- ΔE_f: 2.5 kJ/mol of atoms

Entry from the Alexandria database: a relaxed structure of AsSe2BrO (PBE).

Cell lengths 5.010, 5.010, 5.286 Å; angles 90.00, 90.00, 90.00 degrees
Element x y z (fractional)
As  0.000  0.000  0.500
Se  0.500  0.000  0.000
Se  0.000  0.500  0.000
Br  0.000  0.000  0.000
O  0.500  0.500  0.500

Calculated values
- Energy relative to the lowest polymorph listed for this composition: 1155 meV per atom
- Volume: 26.5 A^3/atom
- Crystal system: tetragonal
- ΔE_f (raw): 1653 meV/atom

Entry from the Alexandria database: a relaxed structure of Dy3ZnRu (PBE).

Cell lengths 5.740, 5.740, 8.474 Å; angles 102.06, 102.06, 112.54 degrees
Element x y z (fractional)
Dy  0.078  0.209  0.287
Dy  0.291  0.422  0.713
Ru  0.250  0.250  0.000
Ru  0.750  0.750  0.000
Dy  0.304  0.804  0.109
Dy  0.709  0.578  0.287
Dy  0.696  0.196  0.891
Dy  0.922  0.791  0.713
Zn  0.306  0.806  0.500
Zn  0.694  0.194  0.500

Calculated values
- Energy relative to the lowest polymorph listed for this composition: 0 meV per atom
- Volume: 23.9 A^3/atom
- Crystal system: orthorhombic
- ΔE_f: -33.4 kJ/mol of atoms

Entry from the Alexandria database: a relaxed structure of Zr2Sn2H (PBE).

Cell lengths 3.379, 7.890, 7.706 Å; angles 90.00, 102.67, 90.00 degrees
Element x y z (fractional)
Zr  0.545  0.874  0.091
H  0.561  0.606  0.121
H  0.439  0.106  0.879
Sn  0.912  0.690  0.823
Zr  0.127  0.558  0.253
Zr  0.873  0.058  0.747
Sn  0.088  0.190  0.177
Sn  0.223  0.907  0.446
Sn  0.777  0.407  0.554
Zr  0.455  0.374  0.909

Calculated values
- Energy relative to the lowest polymorph listed for this composition: 0 meV per atom
- Volume: 20.0 A^3/atom
- Crystal system: orthorhombic

Entry from the Alexandria database: a relaxed structure of LiIn (PBE).

Cell lengths 4.429, 4.429, 4.429 Å; angles 60.00, 60.00, 60.00 degrees
Element x y z (fractional)
Li  0.750  0.750  0.750
In  0.000  0.000  0.000

Calculated values
- Volume: 30.7 A^3/atom
- Crystal system: cubic
- ΔE_f: 40.9 kJ/mol of atoms